Material: Cr2IrBr
Method: DFT, PBE-GGA
State: relaxed

Properties
Magnetic moment ... 0.05 μB/cell
Total DFT energy (no corrections) ... -0.256 Ha/atom
DOS at the Fermi energy ... 0.525 states/eV/atom
Formation energy (no corrections) ... 0.484 eV per atom

a b c (Å): 9.6286 2.9968 4.4831
angles (deg): 90.00 95.71 90.00
Last column: nearest neighbours and their distance in Å.
Space group Cm (No. 8)
Inequivalent atoms, fractional coordinates:
Cr  0.0000  0.0000  0.0000  1 Br 2.54, 2 Ir 2.56, 2 Cr 2.78
Cr  0.2167  0.5000  0.2856  4 Br 2.66-2.74, 3 Ir 2.70-2.75, 2 Cr 2.78
Ir  0.4465  0.0000  0.4371  5 Cr 2.56-2.75, 1 Br 2.68
Br  0.2331  0.0000  0.7786  5 Cr 2.54-2.74, 1 Ir 2.68